Crystalline TeRhPb at its relaxed geometry. Source: Alexandria, functional PBE-GGA.

The structure in extended XYZ format:
```
3
Lattice="3.891 0.000 0.000 -1.946 3.370 0.000 0.000 0.000 5.740" Properties=species:S:1:pos:R:3 pbc="T T T"
Te 0.000 0.000 0.000
Rh 0.000 2.246 4.429
Pb 1.946 1.123 2.650
```

Total energy (eV/atom): -4.883
Crystal system: trigonal


Crystalline Te4RhPb at its relaxed geometry. Source: Alexandria, functional PBE-GGA.

The structure in extended XYZ format:
```
6
Lattice="0.000 4.443 4.443 4.443 0.000 4.443 4.443 4.443 0.000" Properties=species:S:1:pos:R:3 pbc="T T T"
Te 3.341 3.341 3.341
Te 5.545 5.545 3.341
Te 5.545 3.341 5.545
Te 3.341 5.545 5.545
Rh 6.664 6.664 6.664
Pb 0.000 0.000 0.000
```

Total energy (eV/atom): -3.208
Crystal system: cubic


Crystalline TeRhPb at its relaxed geometry. Source: Alexandria, functional PBE-GGA.

The structure in extended XYZ format:
```
3
Lattice="0.000 3.323 3.323 3.323 0.000 3.323 3.323 3.323 0.000" Properties=species:S:1:pos:R:3 pbc="T T T"
Te 0.000 0.000 0.000
Rh 4.984 4.984 4.984
Pb 3.323 3.323 3.323
```

Total energy (eV/atom): -4.905
Crystal system: cubic


Number 1: ρ 9.66 g/cm³, N(E_F) 2.111 states/eV per cell, ΔE_f (raw) -0.15 eV/atom. Number 2: ρ 7.77 g/cm³, N(E_F) 8.942 states/eV per cell, ΔE_f (raw) 0.73 eV/atom. Number 3: ρ 9.91 g/cm³, N(E_F) 2.616 states/eV per cell, ΔE_f (raw) -0.17 eV/atom.